1.
Entry from Alexandria: a relaxed structure of KP2Ru (GGA-PBE).

Values from the calculation:
**Formation energy**: 0.94 eV/atom
**E above lowest polymorph**: 1195 meV/atom
**Total magnetic moment**: 0.2221 μB/atom

```
data_KP2Ru
_chemical_formula_sum 'K1 P2 Ru1'
_space_group_name_H-M_alt 'P 1'
_space_group_IT_number 1
_cell_length_a 5.265
_cell_length_b 5.265
_cell_length_c 5.265
_cell_angle_alpha 135.39
_cell_angle_beta 135.39
_cell_angle_gamma 64.93
loop_
_space_group_symop_operation_xyz
'x,y,z'
loop_
_atom_site_label
_atom_site_fract_x
_atom_site_fract_y
_atom_site_fract_z
K1 0.000 0.000 0.000
P1 0.250 0.750 0.500
P2 0.500 0.500 0.000
Ru1 0.750 0.250 0.500
```

2.
Entry from Alexandria: a relaxed structure of KP2Ru (GGA-PBE).

Values from the calculation:
**Formation energy**: -0.26 eV/atom
**E above lowest polymorph**: 0 meV/atom
**Total magnetic moment**: 0.0000 μB/atom

```
data_KP2Ru
_chemical_formula_sum 'K1 P2 Ru1'
_space_group_name_H-M_alt 'P 1'
_space_group_IT_number 1
_cell_length_a 4.128
_cell_length_b 4.128
_cell_length_c 6.657
_cell_angle_alpha 99.32
_cell_angle_beta 99.32
_cell_angle_gamma 45.44
loop_
_space_group_symop_operation_xyz
'x,y,z'
loop_
_atom_site_label
_atom_site_fract_x
_atom_site_fract_y
_atom_site_fract_z
K1 0.000 0.000 0.000
P1 0.229 0.229 0.641
P2 0.771 0.771 0.359
Ru1 0.500 0.500 0.500
```

3.
Entry from Alexandria: a relaxed structure of K2PRu (GGA-PBE).

Values from the calculation:
**Formation energy**: 0.97 eV/atom
**Total magnetic moment**: 0.2019 μB/atom

```
data_K2PRu
_chemical_formula_sum 'K2 P1 Ru1'
_space_group_name_H-M_alt 'P 1'
_space_group_IT_number 1
_cell_length_a 6.310
_cell_length_b 6.310
_cell_length_c 2.594
_cell_angle_alpha 90.00
_cell_angle_beta 90.00
_cell_angle_gamma 90.00
loop_
_space_group_symop_operation_xyz
'x,y,z'
loop_
_atom_site_label
_atom_site_fract_x
_atom_site_fract_y
_atom_site_fract_z
K1 0.000 0.500 0.000
K2 0.500 0.000 0.000
P1 0.000 0.000 0.500
Ru1 0.500 0.500 0.500
```

4.
Entry from Alexandria: a relaxed structure of K3PRu (GGA-PBE).

Values from the calculation:
**Formation energy**: 1.18 eV/atom
**Total magnetic moment**: 0.8000 μB/atom

```
data_K3PRu
_chemical_formula_sum 'K3 P1 Ru1'
_space_group_name_H-M_alt 'P 1'
_space_group_IT_number 1
_cell_length_a 6.037
_cell_length_b 6.037
_cell_length_c 6.037
_cell_angle_alpha 90.00
_cell_angle_beta 90.00
_cell_angle_gamma 90.00
loop_
_space_group_symop_operation_xyz
'x,y,z'
loop_
_atom_site_label
_atom_site_fract_x
_atom_site_fract_y
_atom_site_fract_z
K1 0.000 0.000 0.500
K2 0.000 0.500 0.000
K3 0.500 0.000 0.000
P1 0.500 0.500 0.500
Ru1 0.000 0.000 0.000
```

no.,calculated total energy (hartree per atom)
1,-0.1603
2,-0.2042
3,-0.1194
4,-0.0888